{"formula": "Th2MgNi", "functional": "GGA-PBE", "state": "optimized geometry", "lattice": [[1.772, 1.023, 10.686], [-1.772, 1.023, 10.686], [0.000, -2.046, 10.686]], "species": ["Th", "Th", "Mg", "Ni"], "frac_coords": [[0.108, 0.108, 0.108], [0.892, 0.892, 0.892], [0.000, 0.000, 0.000], [0.500, 0.500, 0.500]], "polymorph_energy_mev_per_atom": 281, "spacegroup": "No. 166"}

=====

{"formula": "ThMgNi", "functional": "GGA-PBE", "state": "optimized geometry", "lattice": [[13.189, 0.000, 0.000], [0.000, 3.854, 0.000], [0.000, 0.000, 7.635]], "species": ["Th", "Th", "Th", "Th", "Th", "Th", "Mg", "Mg", "Mg", "Mg", "Mg", "Mg", "Ni", "Ni", "Ni", "Ni", "Ni", "Ni"], "frac_coords": [[0.043, 0.000, 0.225], [0.250, 0.000, 0.861], [0.457, 0.000, 0.225], [0.543, 0.000, 0.775], [0.750, 0.000, 0.139], [0.957, 0.000, 0.775], [0.128, 0.500, 0.562], [0.250, 0.500, 0.211], [0.372, 0.500, 0.562], [0.628, 0.500, 0.438], [0.750, 0.500, 0.789], [0.872, 0.500, 0.438], [0.096, 0.500, 0.941], [0.250, 0.000, 0.443], [0.404, 0.500, 0.941], [0.596, 0.500, 0.059], [0.750, 0.000, 0.557], [0.904, 0.500, 0.059]], "spacegroup": "No. 51"}

=====

{"formula": "ThMgNi2", "functional": "GGA-PBE", "state": "optimized geometry", "lattice": [[4.693, 0.000, 0.000], [0.000, 4.693, 0.000], [0.000, 0.000, 3.309]], "species": ["Th", "Mg", "Ni", "Ni"], "frac_coords": [[0.000, 0.000, 0.000], [0.500, 0.500, 0.000], [0.000, 0.500, 0.500], [0.500, 0.000, 0.500]], "spacegroup": "No. 123"}

=====

{"formula": "ThMg3Ni3", "functional": "GGA-PBE", "state": "optimized geometry", "lattice": [[8.357, 0.000, 0.000], [-4.179, 7.238, 0.000], [0.000, 0.000, 4.262]], "species": ["Th", "Th", "Mg", "Mg", "Mg", "Mg", "Mg", "Mg", "Ni", "Ni", "Ni", "Ni", "Ni", "Ni"], "frac_coords": [[0.333, 0.667, 0.250], [0.667, 0.333, 0.750], [0.046, 0.274, 0.750], [0.228, 0.954, 0.750], [0.274, 0.228, 0.250], [0.726, 0.772, 0.750], [0.772, 0.046, 0.250], [0.954, 0.726, 0.250], [0.048, 0.591, 0.750], [0.409, 0.458, 0.750], [0.458, 0.048, 0.250], [0.542, 0.952, 0.750], [0.591, 0.542, 0.250], [0.952, 0.409, 0.250]], "spacegroup": "No. 176"}

=====

{"formula": "ThMgNi", "functional": "GGA-PBE", "state": "optimized geometry", "lattice": [[-1.646, 1.646, 5.976], [1.646, -1.646, 5.976], [1.646, 1.646, -5.976]], "species": ["Th", "Mg", "Ni"], "frac_coords": [[0.000, 0.000, 0.000], [0.726, 0.726, 0.000], [0.355, 0.355, 0.000]], "spacegroup": "No. 107"}

=====

{"formula": "Th3Mg5Ni2", "functional": "GGA-PBE", "state": "optimized geometry", "lattice": [[-5.738, 6.425, 3.226], [5.738, -6.425, 3.226], [5.738, 6.425, -3.226]], "species": ["Th", "Th", "Th", "Th", "Th", "Th", "Mg", "Mg", "Mg", "Mg", "Mg", "Mg", "Mg", "Mg", "Mg", "Mg", "Ni", "Ni", "Ni", "Ni"], "frac_coords": [[0.169, 0.241, 0.410], [0.250, 0.250, 0.000], [0.331, 0.741, 0.072], [0.669, 0.259, 0.928], [0.750, 0.750, 0.000], [0.831, 0.759, 0.590], [0.021, 0.750, 0.271], [0.079, 0.688, 0.767], [0.250, 0.750, 0.500], [0.421, 0.188, 0.610], [0.479, 0.750, 0.729], [0.521, 0.250, 0.271], [0.579, 0.812, 0.390], [0.750, 0.250, 0.500], [0.921, 0.312, 0.233], [0.979, 0.250, 0.729], [0.155, 0.882, 0.037], [0.345, 0.382, 0.728], [0.655, 0.618, 0.272], [0.845, 0.118, 0.963]], "spacegroup": "No. 72"}

=====

{"formula": "ThMgNi17", "functional": "GGA-PBE", "state": "optimized geometry", "lattice": [[4.131, 2.385, 4.023], [-4.131, 2.385, 4.023], [0.000, -4.770, 4.023]], "species": ["Th", "Mg", "Ni", "Ni", "Ni", "Ni", "Ni", "Ni", "Ni", "Ni", "Ni", "Ni", "Ni", "Ni", "Ni", "Ni", "Ni", "Ni", "Ni"], "frac_coords": [[0.000, 0.000, 0.000], [0.320, 0.320, 0.320], [0.007, 0.007, 0.500], [0.007, 0.500, 0.007], [0.157, 0.658, 0.658], [0.314, 0.314, 0.806], [0.314, 0.806, 0.314], [0.364, 0.656, 0.953], [0.364, 0.953, 0.656], [0.500, 0.007, 0.007], [0.557, 0.557, 0.557], [0.656, 0.364, 0.953], [0.656, 0.953, 0.364], [0.658, 0.157, 0.658], [0.658, 0.658, 0.157], [0.756, 0.756, 0.756], [0.806, 0.314, 0.314], [0.953, 0.364, 0.656], [0.953, 0.656, 0.364]], "spacegroup": "No. 160"}

=====

{"formula": "Th2MgNi9", "functional": "GGA-PBE", "state": "optimized geometry", "lattice": [[2.477, 1.430, 8.267], [-2.477, 1.430, 8.267], [0.000, -2.860, 8.267]], "species": ["Th", "Th", "Mg", "Ni", "Ni", "Ni", "Ni", "Ni", "Ni", "Ni", "Ni", "Ni"], "frac_coords": [[0.134, 0.134, 0.134], [0.866, 0.866, 0.866], [0.000, 0.000, 0.000], [0.080, 0.581, 0.581], [0.333, 0.333, 0.333], [0.419, 0.419, 0.920], [0.419, 0.920, 0.419], [0.500, 0.500, 0.500], [0.581, 0.080, 0.581], [0.581, 0.581, 0.080], [0.667, 0.667, 0.667], [0.920, 0.419, 0.419]], "spacegroup": "No. 166"}

=====

{"formula": "Th2MgNi", "functional": "GGA-PBE", "state": "optimized geometry", "lattice": [[3.380, 0.000, 0.000], [0.000, 3.380, 0.000], [0.000, 0.000, 8.772]], "species": ["Th", "Th", "Mg", "Ni"], "frac_coords": [[0.000, 0.000, 0.204], [0.000, 0.000, 0.796], [0.500, 0.500, 0.500], [0.500, 0.500, 0.000]], "polymorph_energy_mev_per_atom": 0, "spacegroup": "No. 123"}

=====

{"formula": "Th3MgNi8", "functional": "GGA-PBE", "state": "optimized geometry", "lattice": [[2.547, 1.470, 8.431], [-2.547, 1.470, 8.431], [0.000, -2.941, 8.431]], "species": ["Th", "Th", "Th", "Mg", "Ni", "Ni", "Ni", "Ni", "Ni", "Ni", "Ni", "Ni"], "frac_coords": [[0.000, 0.000, 0.000], [0.128, 0.128, 0.128], [0.613, 0.613, 0.613], [0.492, 0.492, 0.492], [0.056, 0.056, 0.562], [0.056, 0.562, 0.056], [0.061, 0.560, 0.560], [0.310, 0.310, 0.310], [0.560, 0.061, 0.560], [0.560, 0.560, 0.061], [0.562, 0.056, 0.056], [0.810, 0.810, 0.810]], "spacegroup": "No. 160"}

=====

{"formula": "ThMgNi", "functional": "GGA-PBE", "state": "optimized geometry", "lattice": [[0.000, 3.281, 3.281], [3.281, 0.000, 3.281], [3.281, 3.281, 0.000]], "species": ["Th", "Mg", "Ni"], "frac_coords": [[0.000, 0.000, 0.000], [0.500, 0.500, 0.500], [0.250, 0.250, 0.250]], "spacegroup": "No. 216"}

=====

{"formula": "ThMg3Ni8", "functional": "GGA-PBE", "state": "optimized geometry", "lattice": [[2.458, 1.419, 8.097], [-2.458, 1.419, 8.097], [0.000, -2.838, 8.097]], "species": ["Th", "Mg", "Mg", "Mg", "Ni", "Ni", "Ni", "Ni", "Ni", "Ni", "Ni", "Ni"], "frac_coords": [[0.000, 0.000, 0.000], [0.130, 0.130, 0.130], [0.495, 0.495, 0.495], [0.611, 0.611, 0.611], [0.061, 0.061, 0.557], [0.061, 0.557, 0.061], [0.063, 0.564, 0.564], [0.311, 0.311, 0.311], [0.557, 0.061, 0.061], [0.564, 0.063, 0.564], [0.564, 0.564, 0.063], [0.812, 0.812, 0.812]], "spacegroup": "No. 160"}

=====

{"formula": "ThMgNi2", "functional": "GGA-PBE", "state": "optimized geometry", "lattice": [[4.028, 0.000, 0.000], [0.000, 1.891, 4.919], [0.000, -1.891, 4.919]], "species": ["Th", "Mg", "Ni", "Ni"], "frac_coords": [[0.000, 0.000, 0.000], [0.500, 0.715, 0.715], [0.000, 0.278, 0.278], [0.500, 0.427, 0.427]], "spacegroup": "No. 38"}

=====

{"formula": "ThMgNi", "functional": "GGA-PBE", "state": "optimized geometry", "lattice": [[5.949, -2.199, 0.000], [5.949, 2.199, 0.000], [-0.952, 0.000, 5.075]], "species": ["Th", "Th", "Mg", "Mg", "Ni", "Ni"], "frac_coords": [[0.135, 0.135, 0.300], [0.865, 0.865, 0.700], [0.412, 0.412, 0.211], [0.588, 0.588, 0.789], [0.223, 0.223, 0.836], [0.777, 0.777, 0.164]], "spacegroup": "No. 12"}

=====

{"formula": "ThMgTlNi", "functional": "GGA-PBE", "state": "optimized geometry", "lattice": [[0.000, 3.573, 3.573], [3.573, 0.000, 3.573], [3.573, 3.573, 0.000]], "species": ["Th", "Mg", "Tl", "Ni"], "frac_coords": [[0.000, 0.000, 0.000], [0.500, 0.500, 0.500], [0.250, 0.250, 0.250], [0.750, 0.750, 0.750]], "spacegroup": "No. 216"}

=====

{"formula": "ThMgZnNi", "functional": "GGA-PBE", "state": "optimized geometry", "lattice": [[0.000, 3.415, 3.415], [3.415, 0.000, 3.415], [3.415, 3.415, 0.000]], "species": ["Th", "Mg", "Zn", "Ni"], "frac_coords": [[0.000, 0.000, 0.000], [0.500, 0.500, 0.500], [0.250, 0.250, 0.250], [0.750, 0.750, 0.750]], "spacegroup": "No. 216"}

=====

{"formula": "Th2MgZn2Ni5", "functional": "GGA-PBE", "state": "optimized geometry", "lattice": [[9.678, 0.000, 0.000], [0.000, 9.678, 0.000], [0.000, 0.000, 3.583]], "species": ["Th", "Th", "Th", "Th", "Mg", "Mg", "Zn", "Zn", "Zn", "Zn", "Ni", "Ni", "Ni", "Ni", "Ni", "Ni", "Ni", "Ni", "Ni", "Ni"], "frac_coords": [[0.182, 0.318, 0.000], [0.318, 0.818, 0.000], [0.682, 0.182, 0.000], [0.818, 0.682, 0.000], [0.000, 0.000, 0.000], [0.500, 0.500, 0.000], [0.114, 0.614, 0.000], [0.386, 0.114, 0.000], [0.614, 0.886, 0.000], [0.886, 0.386, 0.000], [0.000, 0.500, 0.500], [0.059, 0.783, 0.500], [0.217, 0.059, 0.500], [0.283, 0.559, 0.500], [0.441, 0.283, 0.500], [0.500, 0.000, 0.500], [0.559, 0.717, 0.500], [0.717, 0.441, 0.500], [0.783, 0.941, 0.500], [0.941, 0.217, 0.500]], "spacegroup": "No. 127"}

=====

{"formula": "MgTi3Ni", "functional": "GGA-PBE", "state": "optimized geometry", "lattice": [[4.667, 0.000, 0.000], [0.000, 4.667, 0.000], [0.000, 0.000, 4.667]], "species": ["Mg", "Ti", "Ti", "Ti", "Ni"], "frac_coords": [[0.000, 0.000, 0.000], [0.000, 0.000, 0.500], [0.000, 0.500, 0.000], [0.500, 0.000, 0.000], [0.500, 0.500, 0.500]], "polymorph_energy_mev_per_atom": 1231, "spacegroup": "No. 221"}

=====

{"formula": "Mg3TiNi2", "functional": "GGA-PBE", "state": "optimized geometry", "lattice": [[0.000, 5.818, 5.818], [5.818, 0.000, 5.818], [5.818, 5.818, 0.000]], "species": ["Mg", "Mg", "Mg", "Mg", "Mg", "Mg", "Mg", "Mg", "Mg", "Mg", "Mg", "Mg", "Ti", "Ti", "Ti", "Ti", "Ni", "Ni", "Ni", "Ni", "Ni", "Ni", "Ni", "Ni"], "frac_coords": [[0.067, 0.067, 0.683], [0.067, 0.683, 0.067], [0.067, 0.683, 0.683], [0.317, 0.317, 0.933], [0.317, 0.933, 0.317], [0.317, 0.933, 0.933], [0.683, 0.067, 0.067], [0.683, 0.067, 0.683], [0.683, 0.683, 0.067], [0.933, 0.317, 0.317], [0.933, 0.317, 0.933], [0.933, 0.933, 0.317], [0.000, 0.500, 0.500], [0.500, 0.000, 0.500], [0.500, 0.500, 0.000], [0.500, 0.500, 0.500], [0.295, 0.295, 0.295], [0.295, 0.295, 0.616], [0.295, 0.616, 0.295], [0.384, 0.705, 0.705], [0.616, 0.295, 0.295], [0.705, 0.384, 0.705], [0.705, 0.705, 0.384], [0.705, 0.705, 0.705]], "spacegroup": "No. 227"}

=====

{"formula": "MgTi2Ni", "functional": "GGA-PBE", "state": "optimized geometry", "lattice": [[-3.602, 3.602, 2.642], [3.602, -3.602, 2.642], [3.602, 3.602, -2.642]], "species": ["Mg", "Mg", "Ti", "Ti", "Ti", "Ti", "Ni", "Ni"], "frac_coords": [[0.000, 0.000, 0.000], [0.750, 0.250, 0.500], [0.180, 0.625, 0.055], [0.375, 0.430, 0.555], [0.570, 0.125, 0.945], [0.875, 0.820, 0.445], [0.250, 0.750, 0.500], [0.500, 0.500, 0.000]], "spacegroup": "No. 122"}

=====

{"formula": "MgTi2Ni", "functional": "GGA-PBE", "state": "optimized geometry", "lattice": [[1.407, 0.812, 9.790], [-1.407, 0.812, 9.790], [0.000, -1.624, 9.790]], "species": ["Mg", "Ti", "Ti", "Ni"], "frac_coords": [[0.000, 0.000, 0.000], [0.097, 0.097, 0.097], [0.903, 0.903, 0.903], [0.500, 0.500, 0.500]], "spacegroup": "No. 166"}

=====

{"formula": "MgTi2Ni2", "functional": "GGA-PBE", "state": "optimized geometry", "lattice": [[-1.775, 1.775, 6.440], [1.775, -1.775, 6.440], [1.775, 1.775, -6.440]], "species": ["Mg", "Ti", "Ti", "Ni", "Ni"], "frac_coords": [[0.000, 0.000, 0.000], [0.382, 0.382, 0.000], [0.618, 0.618, 0.000], [0.250, 0.750, 0.500], [0.750, 0.250, 0.500]], "spacegroup": "No. 139"}

=====

{"formula": "MgTi2Ni2", "functional": "GGA-PBE", "state": "optimized geometry", "lattice": [[-2.079, 2.079, 4.746], [2.079, -2.079, 4.746], [2.079, 2.079, -4.746]], "species": ["Mg", "Ti", "Ti", "Ni", "Ni"], "frac_coords": [[0.000, 0.000, 0.000], [0.250, 0.750, 0.500], [0.750, 0.250, 0.500], [0.382, 0.382, 0.000], [0.618, 0.618, 0.000]], "spacegroup": "No. 139"}

=====

The records above give, respectively, formation enthalpy at 0 K values of 0.18 -0.28 -0.21 -0.25 -0.13 -0.03 -0.12 -0.29 -0.10 -0.39 -0.13 -0.31 -0.34 -0.26 -0.06 -0.23 -0.20 1.57 -0.26 0.17 0.21 0.11 -0.15 eV/atom.